Entry 1:
Material: BaTbAgS3
Method: DFT, GGA-PBE
State: optimized geometry

Results
Symmetry ... P2_1/m

a = 8.473 Å, b = 4.124 Å, c = 9.186 Å
α = 90.00°, β = 105.81°, γ = 90.00°
Sites, in units of the cell vectors:
Ag 0.093 0.250 0.093
S 0.549 0.250 0.347
Ba 0.205 0.250 0.744
Tb 0.324 0.750 0.340
Ag 0.907 0.750 0.907
S 0.754 0.250 0.974
S 0.111 0.250 0.372
Tb 0.676 0.250 0.660
Ba 0.795 0.750 0.256
S 0.451 0.750 0.653
S 0.889 0.750 0.628
S 0.246 0.750 0.026



Entry 2:
Material: BaTbAgS3
Method: DFT, GGA-PBE
State: optimized geometry

Results
Symmetry ... C2/m

a = 9.080 Å, b = 9.080 Å, c = 8.572 Å
α = 102.32°, β = 102.32°, γ = 26.02°
Sites, in units of the cell vectors:
S 0.325 0.325 0.630
Tb 0.164 0.164 0.583
S 0.500 0.500 0.000
S 0.000 0.000 0.500
Ba 0.135 0.135 0.074
S 0.323 0.323 0.193
Ag 0.476 0.476 0.289
Ba 0.865 0.865 0.926
S 0.677 0.677 0.807
Tb 0.836 0.836 0.417
S 0.675 0.675 0.370
Ag 0.524 0.524 0.711



Entry 3:
Material: BaTbAgTeS2
Method: DFT, GGA-PBE
State: optimized geometry

Results
Symmetry ... Cmcm

a = 7.778 Å, b = 7.778 Å, c = 11.145 Å
α = 90.00°, β = 90.00°, γ = 148.79°
Sites, in units of the cell vectors:
S 0.383 0.617 0.066
S 0.617 0.383 0.566
Te 0.103 0.897 0.250
S 0.383 0.617 0.434
Ba 0.786 0.214 0.250
Tb 0.000 0.000 0.000
Ag 0.482 0.518 0.250
Ba 0.214 0.786 0.750
Te 0.897 0.103 0.750
Ag 0.518 0.482 0.750
Tb 0.000 0.000 0.500
S 0.617 0.383 0.934



Entry 4:
Material: BaTbAgTe2S
Method: DFT, GGA-PBE
State: optimized geometry

Results
Symmetry ... Cmcm

a = 7.816 Å, b = 7.816 Å, c = 10.816 Å
α = 90.00°, β = 90.00°, γ = 147.21°
Sites, in units of the cell vectors:
Ag 0.522 0.478 0.250
Ag 0.478 0.522 0.750
Ba 0.272 0.728 0.250
Ba 0.728 0.272 0.750
Te 0.642 0.358 0.053
Te 0.358 0.642 0.553
Te 0.642 0.358 0.447
S 0.069 0.931 0.750
S 0.931 0.069 0.250
Tb 0.000 0.000 0.500
Te 0.358 0.642 0.947
Tb 0.000 0.000 0.000



no.,raw total energy (eV for the cell shown)
1,-63.0
2,-62.9
3,-59.0
4,-56.1